[1]
First-principles (SCAN) data for Nb2Ge2H at its PBEsol-relaxed geometry, as listed in Alexandria via LeMat-Bulk. Values from VASP.

Structure (Quantum ESPRESSO input):
```
&SYSTEM
  ibrav = 0, nat = 5, ntyp = 3
/
ATOMIC_SPECIES
Nb 92.91 Nb.upf
Ge 72.64 Ge.upf
H 1.01 H.upf
CELL_PARAMETERS angstrom
-1.7545 1.7545 6.5243
1.7545 -1.7545 6.5243
1.7545 1.7545 -6.5243
ATOMIC_POSITIONS crystal
Nb 0.0954 0.0954 0.0000
Nb 0.9046 0.9046 0.0000
Ge 0.2500 0.7500 0.5000
Ge 0.7500 0.2500 0.5000
H 0.5000 0.5000 0.0000
```

Results
E (eV per atom): -20.9844

---

[2]
First-principles (SCAN) data for Tm3Cu4Si4 at its PBEsol-relaxed geometry, as listed in Alexandria via LeMat-Bulk. Values from VASP.

Structure (Quantum ESPRESSO input):
```
&SYSTEM
  ibrav = 0, nat = 11, ntyp = 3
/
ATOMIC_SPECIES
Tm 168.93 Tm.upf
Cu 63.55 Cu.upf
Si 28.09 Si.upf
CELL_PARAMETERS angstrom
-2.0218 3.2096 6.6859
2.0218 -3.2096 6.6859
2.0218 3.2096 -6.6859
ATOMIC_POSITIONS crystal
Tm 0.0000 0.0000 0.0000
Tm 0.3711 0.8711 0.5000
Tm 0.6289 0.1289 0.5000
Cu 0.0222 0.3304 0.6918
Cu 0.3615 0.6696 0.6918
Cu 0.6385 0.3304 0.3082
Cu 0.9778 0.6696 0.3082
Si 0.2163 0.2163 0.0000
Si 0.3132 0.5000 0.8132
Si 0.6868 0.5000 0.1868
Si 0.7837 0.7837 0.0000
```

Results
Formation energy without anion corrections (kJ per mole of atoms): -65.6